Computed, not measured: a geometry-optimized NbFeRe2F structure at the PBE+U level of DFT.

Lattice parameters (Å, degrees): 4.369 4.369 4.679 90.00 90.00 90.00
Fractional positions:
Nb (0.000, 0.000, 0.000)
Fe (0.000, 0.000, 0.500)
Re (0.000, 0.500, 0.500)
Re (0.500, 0.000, 0.500)
F (0.500, 0.500, 0.000)

Volume in Å³ per atom: 17.858
Total DFT energy (no corrections) in eV/atom: -6.567